Crystalline KBaTlIn2 at its relaxed geometry. Source: Alexandria via LeMat-Bulk, functional PBE-GGA.

a b c (Å): 6.4903 6.5023 6.4903
angles (deg): 90.00 90.00 90.00
Last column: nearest neighbours and their distance in Å.
Sites, in units of the cell vectors:
Tl1 0.0000 0.5000 0.0000  2 Ba 3.25
K1 0.5000 0.5000 0.5000  4 Tl 4.59, 8 In 4.59
In1 0.0000 0.0000 0.5000  2 Ba 3.25
In2 0.5000 0.0000 0.0000  2 Ba 3.25
Ba1 0.0000 0.0000 0.0000  4 In 3.25, 2 Tl 3.25

Output
- ρ (g/cm³) = 3.70
- space group = P4/mmm
- electronic total energy (eV/atom) = -1.77
- V (Å³/atom) = 54.78
- energy of formation from the pure elements (eV/atom) = 0.406

Crystalline CsHgOsO6 at its relaxed geometry. Source: Alexandria via LeMat-Bulk, functional PBE-GGA.

a b c (Å): 6.1071 6.1670 6.1073
angles (deg): 93.53 90.04 57.45
Last column: nearest neighbours and their distance in Å.
Sites, in units of the cell vectors:
O1 0.3177 0.6022 0.3335  1 Os 1.76
O2 0.5028 0.0968 0.2568  1 Os 1.77
O3 0.1064 0.5381 0.7128  1 Os 1.92
O4 0.0219 0.3813 0.3735  1 Os 1.96, 1 Hg 2.12
O5 0.5978 0.2878 0.6460  1 Os 1.77
O6 0.3673 0.0216 0.6409  1 Hg 2.00
Cs1 0.0301 0.0297 0.0040  5 O 3.01-3.22
Os1 0.3450 0.3459 0.4687  5 O 1.76-1.96
Hg1 0.7108 0.6967 0.5636  2 O 2.00-2.12

Output
- uncorrected formation energy (kJ/mol of atoms) = -77.2
- ρ (g/cm³) = 5.32
- space group = P1
- electronic total energy (eV/atom) = -5.48
- V (Å³/atom) = 21.49

Crystalline Sr2ScZn at its relaxed geometry. Source: Alexandria via LeMat-Bulk, functional PBE-GGA.

a b c (Å): 5.6316 5.6316 4.1305
angles (deg): 90.00 90.00 90.37
Last column: nearest neighbours and their distance in Å.
Sites, in units of the cell vectors:
Sc1 0.0000 0.5000 0.5000  8 Sr 3.49
Zn1 0.5000 0.0000 0.5000  8 Sr 3.49
Sr1 0.0000 0.0000 0.0000  4 Sc 3.49, 4 Zn 3.49
Sr2 0.5000 0.5000 0.0000  4 Zn 3.49, 4 Sc 3.49

Output
- ρ (g/cm³) = 3.62
- space group = Cmmm
- electronic total energy (eV/atom) = -2.54
- V (Å³/atom) = 32.75
- energy of formation from the pure elements (eV/atom) = 0.199

Crystalline LiCeLuOs at its relaxed geometry. Source: Alexandria via LeMat-Bulk, functional PBE-GGA.

a b c (Å): 4.8835 4.8835 4.8835
angles (deg): 60.00 60.00 60.00
Last column: nearest neighbours and their distance in Å.
Sites, in units of the cell vectors:
Lu1 0.7500 0.7500 0.7500  4 Li 2.99, 4 Os 2.99
Os1 0.5000 0.5000 0.5000  4 Ce 2.99, 4 Lu 2.99
Ce1 0.2500 0.2500 0.2500  4 Os 2.99, 4 Li 2.99
Li1 0.0000 0.0000 0.0000  4 Ce 2.99, 4 Lu 2.99

Output
- ρ (g/cm³) = 10.33
- space group = F-43m
- electronic total energy (eV/atom) = -6.09
- V (Å³/atom) = 20.59
- energy of formation from the pure elements (eV/atom) = -0.190

Crystalline H2SeCl2 at its relaxed geometry. Source: Alexandria via LeMat-Bulk, functional PBE-GGA.

a b c (Å): 9.0446 7.0541 7.4867
angles (deg): 90.00 102.23 90.00
Last column: nearest neighbours and their distance in Å.
Sites, in units of the cell vectors:
H1 0.1889 0.5757 0.6411  1 Se 1.56
H2 0.6432 0.2249 0.1922  1 Se 1.53
H3 0.8568 0.7249 0.8078  1 Se 1.53
H4 0.3111 0.0757 0.3589  1 Se 1.56
H5 0.6889 0.9243 0.6411  1 Se 1.56
H6 0.3568 0.7751 0.8078  1 Se 1.53
H7 0.8111 0.4243 0.3589  1 Se 1.56
H8 0.1432 0.2751 0.1922  1 Se 1.53
Se1 0.3012 0.2912 0.3131  2 H 1.53-1.56
Se2 0.8012 0.2088 0.3131  2 H 1.53-1.56
Se3 0.6988 0.7088 0.6869  2 H 1.53-1.56
Se4 0.1988 0.7912 0.6869  2 H 1.53-1.56
Cl1 0.3331 0.8081 0.4312  1 H 1.96
Cl2 0.0924 0.7333 0.9435  1 H 2.16, 1 Se 2.36
Cl3 0.4076 0.2333 0.0565  1 H 2.16, 1 Se 2.36
Cl4 0.1669 0.3081 0.5688  1 H 1.96
Cl5 0.5924 0.7667 0.9435  1 H 2.16, 1 Se 2.36
Cl6 0.9076 0.2667 0.0565  1 H 2.16, 1 Se 2.36
Cl7 0.6669 0.1919 0.5688  1 H 1.96
Cl8 0.8331 0.6919 0.4312  1 H 1.96

Output
- ρ (g/cm³) = 2.16
- space group = P2_1/c
- electronic total energy (eV/atom) = -3.04
- V (Å³/atom) = 23.34

Crystalline SrHg2GeF6 at its relaxed geometry. Source: Alexandria via LeMat-Bulk, functional PBE-GGA.

a b c (Å): 6.3692 6.4219 6.4219
angles (deg): 120.00 90.00 90.00
Last column: nearest neighbours and their distance in Å.
Sites, in units of the cell vectors:
F1 0.8236 0.1311 0.8689  1 Ge 1.84
F2 0.1764 0.2623 0.1311  1 Ge 1.84
F3 0.8236 0.1311 0.2623  1 Ge 1.84
F4 0.8236 0.7377 0.8689  1 Ge 1.84
F5 0.1764 0.8689 0.7377  1 Ge 1.84
F6 0.1764 0.8689 0.1311  1 Ge 1.84
Sr1 0.5000 0.0000 0.0000  6 F 2.53
Hg1 0.3618 0.3333 0.6667  9 F 3.44-3.70, 3 Sr 3.81
Hg2 0.6382 0.6667 0.3333  9 F 3.44-3.70, 3 Sr 3.81
Ge1 0.0000 0.0000 0.0000  6 F 1.84

Output
- uncorrected formation energy (kJ/mol of atoms) = -221.0
- ρ (g/cm³) = 4.93
- space group = P-3m1
- electronic total energy (eV/atom) = -4.10
- V (Å³/atom) = 22.75

Copy entry 1 word for word.
Crystalline KBaTlIn2 at its relaxed geometry. Source: Alexandria via LeMat-Bulk, functional PBE-GGA.

a b c (Å): 6.4903 6.5023 6.4903
angles (deg): 90.00 90.00 90.00
Last column: nearest neighbours and their distance in Å.
Sites, in units of the cell vectors:
Tl1 0.0000 0.5000 0.0000  2 Ba 3.25
K1 0.5000 0.5000 0.5000  4 Tl 4.59, 8 In 4.59
In1 0.0000 0.0000 0.5000  2 Ba 3.25
In2 0.5000 0.0000 0.0000  2 Ba 3.25
Ba1 0.0000 0.0000 0.0000  4 In 3.25, 2 Tl 3.25

Output
- ρ (g/cm³) = 3.70
- space group = P4/mmm
- electronic total energy (eV/atom) = -1.77
- V (Å³/atom) = 54.78
- energy of formation from the pure elements (eV/atom) = 0.406